No. 1
B7C5: optimized geometry, PBE-GGA.

a b c (Å): 2.6509 4.9696 6.2203
angles (deg): 103.93 90.00 90.00
Closest atoms and distances in Å follow each position.
Fractional positions:
B (0.5000, 0.8149, 0.3061)  1 C 1.61, 2 B 1.80
B (0.5000, 0.4406, 0.2453)  2 C 1.61, 2 B 1.71-1.81
B (0.5000, 0.5678, 0.0129)  2 C 1.68, 1 B 1.71
B (0.5000, 0.1739, 0.9495)  3 C 1.65-1.67
B (0.0000, 0.6688, 0.6230)  3 C 1.65-1.69
B (0.0000, 0.2625, 0.5918)  3 C 1.60
B (0.0000, 0.0378, 0.2592)  2 C 1.61-1.65, 2 B 1.80
C (0.0000, 0.3746, 0.3714)  4 B 1.60-1.65
C (0.0000, 0.9916, 0.9941)  1 C 1.49, 1 B 1.61
C (0.0000, 0.6872, 0.8978)  1 C 1.49
C (0.5000, 0.1425, 0.6798)  1 C 1.51, 3 B 1.60-1.65
C (0.5000, 0.8377, 0.5691)  1 C 1.51, 3 B 1.61-1.65

Computed properties:
**DFT total energy**: -7.369 eV/atom
**DOS at the Fermi energy**: 0.210 states/eV/atom
**Energy of formation from the pure elements**: 0.369 eV per atom
**Total magnetic moment**: 0.00 μB per cell
**Volume**: 6.628 Å³/atom

=====

No. 2
B7C5: optimized geometry, PBE-GGA.

a b c (Å): 2.6760 2.6760 17.2151
angles (deg): 90.00 90.00 120.00
Closest atoms and distances in Å follow each position.
Fractional positions:
B (0.0000, 0.0000, 0.7818)  3 C 1.55
B (0.6667, 0.3333, 0.6769)  4 C 1.64-1.70
B (0.6667, 0.3333, 0.3517)  1 C 1.58
B (0.0000, 0.0000, 0.4129)  4 B 1.70-1.87
B (0.0000, 0.0000, 0.5115)  1 B 1.70, 3 C 1.71
B (0.3333, 0.6667, 0.2525)  3 C 1.55
B (0.0000, 0.0000, 0.0201)  3 C 1.54
C (0.6667, 0.3333, 0.7723)  4 B 1.55-1.64
C (0.3333, 0.6667, 0.6359)  1 C 1.40
C (0.3333, 0.6667, 0.5543)  1 C 1.40
C (0.6667, 0.3333, 0.2601)  4 B 1.55-1.58
C (0.3333, 0.6667, 0.0202)  3 B 1.54

Computed properties:
**DFT total energy**: -7.364 eV/atom
**DOS at the Fermi energy**: 0.417 states/eV/atom
**Energy of formation from the pure elements**: 0.374 eV per atom
**Total magnetic moment**: 0.00 μB per cell
**Volume**: 8.897 Å³/atom

=====

No. 3
BC: optimized geometry, PBE-GGA.

a b c (Å): 2.6461 3.9930 9.0210
angles (deg): 96.06 90.00 90.00
Closest atoms and distances in Å follow each position.
Fractional positions:
B (0.5000, 0.4676, 0.1260)  1 C 1.53
B (0.0000, 0.2824, 0.2074)  1 C 1.53
B (0.0000, 0.8654, 0.9618)  3 C 1.55-1.68
B (0.0000, 0.4139, 0.4449)  3 C 1.54-1.64
B (0.5000, 0.8846, 0.3715)  3 C 1.55-1.68
B (0.5000, 0.3361, 0.8884)  3 C 1.54-1.64
C (0.5000, 0.6917, 0.9984)  4 B 1.53-1.64
C (0.5000, 0.5926, 0.4924)  1 C 1.49, 2 B 1.54
C (0.0000, 0.0583, 0.3349)  4 B 1.53-1.64
C (0.0000, 0.1574, 0.8409)  1 C 1.49, 2 B 1.54
C (0.0000, 0.9295, 0.6990)  3 C 1.49
C (0.5000, 0.8205, 0.6343)  3 C 1.49

Computed properties:
**DFT total energy**: -7.698 eV/atom
**DOS at the Fermi energy**: 0.073 states/eV/atom
**Energy of formation from the pure elements**: 0.253 eV per atom
**Total magnetic moment**: 0.00 μB per cell
**Volume**: 7.898 Å³/atom

=====

No. 4
B3C: optimized geometry, PBE-GGA.

a b c (Å): 2.7604 2.7604 15.7502
angles (deg): 90.00 90.00 120.00
Closest atoms and distances in Å follow each position.
Fractional positions:
B (0.0000, 0.0000, 0.8090)  4 B 1.63-1.68
B (0.3333, 0.6667, 0.8307)  3 B 1.63
B (0.6667, 0.3333, 0.6386)  4 B 1.69-1.88
B (0.0000, 0.0000, 0.7021)  4 B 1.68-1.88
B (0.3333, 0.6667, 0.3393)  3 C 1.61
B (0.3333, 0.6667, 0.5131)  3 B 1.62
B (0.6667, 0.3333, 0.5313)  4 B 1.62-1.69
B (0.6667, 0.3333, 0.1838)  4 C 1.64-1.73
B (0.3333, 0.6667, 0.0706)  3 C 1.60
C (0.0000, 0.0000, 0.3243)  1 C 1.53, 3 B 1.61
C (0.0000, 0.0000, 0.2272)  1 C 1.53
C (0.6667, 0.3333, 0.0799)  4 B 1.60-1.64

Computed properties:
**DFT total energy**: -6.700 eV/atom
**DOS at the Fermi energy**: 0.166 states/eV/atom
**Energy of formation from the pure elements**: 0.614 eV per atom
**Total magnetic moment**: 0.00 μB per cell
**Volume**: 8.661 Å³/atom

=====

No. 5
BC: optimized geometry, PBE-GGA.

a b c (Å): 2.5425 2.5425 14.3230
angles (deg): 90.00 90.00 120.00
Closest atoms and distances in Å follow each position.
Fractional positions:
B (0.6667, 0.3333, 0.8514)  3 C 1.64, 1 B 1.70
B (0.3333, 0.6667, 0.6551)  1 C 1.54
B (0.6667, 0.3333, 0.7329)  4 B 1.70-1.84
B (0.6667, 0.3333, 0.2985)  1 C 1.58
B (0.0000, 0.0000, 0.3766)  4 B 1.70-1.85
B (0.0000, 0.0000, 0.4953)  3 C 1.65, 1 B 1.70
C (0.0000, 0.0000, 0.9021)  1 C 1.50, 3 B 1.64
C (0.3333, 0.6667, 0.5473)  4 B 1.54-1.65
C (0.3333, 0.6667, 0.1517)  4 C 1.54-1.56
C (0.6667, 0.3333, 0.1884)  3 C 1.56, 1 B 1.58
C (0.0000, 0.0000, 0.0067)  4 C 1.50-1.56
C (0.3333, 0.6667, 0.0441)  4 C 1.54-1.56

Computed properties:
**DFT total energy**: -7.496 eV/atom
**DOS at the Fermi energy**: 0.135 states/eV/atom
**Energy of formation from the pure elements**: 0.455 eV per atom
**Total magnetic moment**: 0.00 μB per cell
**Volume**: 6.682 Å³/atom

=====

No. 6
BC: optimized geometry, PBE-GGA.

a b c (Å): 7.2214 7.1156 7.1156
angles (deg): 158.69 146.48 39.98
Closest atoms and distances in Å follow each position.
Fractional positions:
B (0.8198, 0.4740, 0.3458)  3 C 1.56-1.62
B (0.2050, 0.1984, 0.0066)  2 C 1.66-1.69, 2 B 1.80
B (0.9200, 0.7100, 0.2100)  1 C 1.49
B (0.2722, 0.9227, 0.3495)  3 C 1.56-1.63
B (0.5090, 0.6253, 0.8837)  2 C 1.53
C (0.0285, 0.9972, 0.0313)  1 C 1.55, 3 B 1.56-1.63
C (0.4419, 0.4004, 0.0414)  1 C 1.55, 3 B 1.56-1.62
C (0.3208, 0.0937, 0.2271)  3 B 1.53-1.66, 1 C 1.55
C (0.6971, 0.7782, 0.9189)  1 B 1.49, 2 C 1.54
C (0.5357, 0.3001, 0.2356)  3 C 1.54-1.55, 1 B 1.69

Computed properties:
**DFT total energy**: -7.605 eV/atom
**DOS at the Fermi energy**: 0.137 states/eV/atom
**Energy of formation from the pure elements**: 0.346 eV per atom
**Total magnetic moment**: 0.00 μB per cell
**Volume**: 7.330 Å³/atom

=====

No. 7
BC: optimized geometry, PBE-GGA.

a b c (Å): 4.1863 4.3853 5.1739
angles (deg): 106.97 107.58 60.65
Closest atoms and distances in Å follow each position.
Fractional positions:
B (0.9757, 0.0580, 0.9973)  1 C 1.59
B (0.2414, 0.7367, 0.2302)  1 C 1.64, 2 B 1.82
B (0.3488, 0.2525, 0.1506)  3 C 1.57-1.61
B (0.9012, 0.4975, 0.5994)  3 C 1.57-1.61
B (0.0086, 0.0133, 0.5198)  1 C 1.64, 2 B 1.82
B (0.2743, 0.6920, 0.7527)  1 C 1.59
C (0.5709, 0.0837, 0.4199)  2 C 1.53-1.61, 2 B 1.58-1.64
C (0.6791, 0.6663, 0.3301)  2 C 1.53-1.61, 2 B 1.58-1.64
C (0.3436, 0.2428, 0.6494)  2 C 1.52-1.53, 1 B 1.61
C (0.5683, 0.0804, 0.9070)  2 C 1.52-1.58, 2 B 1.57-1.59
C (0.6817, 0.6696, 0.8430)  2 C 1.52-1.58, 2 B 1.57-1.59
C (0.9064, 0.5072, 0.1006)  2 C 1.52-1.53, 1 B 1.61

Computed properties:
**DFT total energy**: -7.571 eV/atom
**DOS at the Fermi energy**: 0.072 states/eV/atom
**Energy of formation from the pure elements**: 0.380 eV per atom
**Total magnetic moment**: 0.00 μB per cell
**Volume**: 6.478 Å³/atom

=====

No. 8
B7C5: optimized geometry, PBE-GGA.

a b c (Å): 4.4242 4.4242 8.5409
angles (deg): 119.50 119.50 35.31
Closest atoms and distances in Å follow each position.
Fractional positions:
B (0.6354, 0.6354, 0.3329)  1 C 1.63
B (0.4464, 0.4464, 0.3825)  2 C 1.67, 2 B 1.71-1.85
B (0.3808, 0.3808, 0.1571)  2 C 1.61, 1 B 1.71
B (0.1903, 0.1903, 0.2132)  1 C 1.67
B (0.6857, 0.6857, 0.8081)  3 C 1.57-1.74
B (0.5753, 0.5753, 0.9501)  2 C 1.54
B (0.2838, 0.2838, 0.6187)  3 C 1.56-1.59
C (0.0179, 0.0179, 0.9954)  3 B 1.54-1.67, 1 C 1.64
C (0.8504, 0.8504, 0.0403)  3 B 1.61-1.74, 1 C 1.64
C (0.1521, 0.1521, 0.7009)  1 C 1.56, 3 B 1.57-1.59
C (0.9715, 0.9715, 0.5092)  2 C 1.52-1.56, 2 B 1.67
C (0.8105, 0.8105, 0.5418)  1 C 1.52, 3 B 1.56-1.63

Computed properties:
**DFT total energy**: -7.376 eV/atom
**DOS at the Fermi energy**: 0.120 states/eV/atom
**Energy of formation from the pure elements**: 0.363 eV per atom
**Total magnetic moment**: 0.00 μB per cell
**Volume**: 6.893 Å³/atom

=====

DFT total energy of number 4 (B3C)? -6.700 eV/atom

=====

Number 5 is which compound? BC